Entry 1:
{
  "formula": "CaSnB3",
  "functional": "GGA-PBE",
  "state": "relaxed",
  "dos_at_fermi_per_ev_fu": 3.0,
  "magmom_total_mub_per_fu": 0.00,
  "e_form_ev_per_atom": 2.38,
  "polymorph_energy_mev_per_atom": 824.2,
  "energy_ev_per_atom": -2.825,
  "space_group": "No. 221",
  "lattice": [[4.777, 0.000, 0.000], [0.000, 4.777, 0.000], [0.000, 0.000, 4.777]],
  "species": ["Ca", "Sn", "B", "B", "B"],
  "frac_coords": [[0.000, 0.000, 0.000], [0.500, 0.500, 0.500], [0.000, 0.000, 0.500], [0.000, 0.500, 0.000], [0.500, 0.000, 0.000]]
}

---

Entry 2:
{
  "formula": "Sm3B2IrPt9",
  "functional": "GGA-PBE",
  "state": "relaxed",
  "dos_at_fermi_per_ev_fu": 7.4,
  "magmom_total_mub_per_fu": 0.00,
  "e_form_ev_per_atom": -0.72,
  "energy_ev_per_atom": -6.767,
  "space_group": "No. 164",
  "lattice": [[5.730, 0.000, 0.000], [-2.865, 4.962, 0.000], [0.000, 0.000, 9.534]],
  "species": ["Sm", "Sm", "Sm", "B", "B", "Ir", "Pt", "Pt", "Pt", "Pt", "Pt", "Pt", "Pt", "Pt", "Pt"],
  "frac_coords": [[0.000, 0.000, 0.000], [0.333, 0.667, 0.593], [0.667, 0.333, 0.407], [0.333, 0.667, 0.147], [0.667, 0.333, 0.853], [0.000, 0.000, 0.500], [0.000, 0.500, 0.000], [0.162, 0.324, 0.276], [0.162, 0.838, 0.276], [0.324, 0.162, 0.724], [0.500, 0.000, 0.000], [0.500, 0.500, 0.000], [0.676, 0.838, 0.276], [0.838, 0.162, 0.724], [0.838, 0.676, 0.724]]
}

---

Entry 3:
{
  "formula": "SmMg2Ti3S8",
  "functional": "GGA-PBE",
  "state": "relaxed",
  "dos_at_fermi_per_ev_fu": 7.1,
  "e_form_raw_mev_per_atom": -1429,
  "magmom_total_mub_per_fu": 2.83,
  "energy_ev_per_atom": -6.044,
  "space_group": "No. 166",
  "lattice": [[3.678, 2.124, 6.341], [-3.678, 2.124, 6.341], [0.000, -4.247, 6.341]],
  "species": ["Sm", "Mg", "Mg", "Ti", "Ti", "Ti", "S", "S", "S", "S", "S", "S", "S", "S"],
  "frac_coords": [[0.000, 0.000, 0.000], [0.372, 0.372, 0.372], [0.628, 0.628, 0.628], [0.000, 0.000, 0.500], [0.000, 0.500, 0.000], [0.500, 0.000, 0.000], [0.228, 0.743, 0.743], [0.241, 0.241, 0.241], [0.257, 0.257, 0.772], [0.257, 0.772, 0.257], [0.743, 0.228, 0.743], [0.743, 0.743, 0.228], [0.759, 0.759, 0.759], [0.772, 0.257, 0.257]]
}

---

Entry 4:
{
  "formula": "Cr2CdW",
  "functional": "GGA-PBE",
  "state": "relaxed",
  "dos_at_fermi_per_ev_fu": 3.6,
  "magmom_total_mub_per_fu": 0.00,
  "e_form_ev_per_atom": 0.51,
  "energy_ev_per_atom": -7.765,
  "space_group": "No. 6",
  "lattice": [[2.731, 0.000, 0.000], [0.000, 4.052, 0.000], [-1.034, 0.000, 5.492]],
  "species": ["Cr", "Cr", "Cd", "W"],
  "frac_coords": [[0.000, 0.000, 0.000], [0.391, 0.500, 0.190], [0.454, 0.500, 0.712], [0.860, 0.000, 0.406]]
}

---

Entry 5:
{
  "formula": "NaMg3Ge3",
  "functional": "GGA-PBE",
  "state": "relaxed",
  "dos_at_fermi_per_ev_fu": 4.8,
  "magmom_total_mub_per_fu": 0.00,
  "e_form_ev_per_atom": 0.30,
  "energy_ev_per_atom": -2.547,
  "space_group": "No. 223",
  "lattice": [[7.488, 0.000, 0.000], [0.000, 7.488, 0.000], [0.000, 0.000, 7.488]],
  "species": ["Na", "Na", "Mg", "Mg", "Mg", "Mg", "Mg", "Mg", "Ge", "Ge", "Ge", "Ge", "Ge", "Ge"],
  "frac_coords": [[0.000, 0.000, 0.000], [0.500, 0.500, 0.500], [0.000, 0.250, 0.500], [0.000, 0.750, 0.500], [0.250, 0.500, 0.000], [0.500, 0.000, 0.250], [0.500, 0.000, 0.750], [0.750, 0.500, 0.000], [0.000, 0.500, 0.250], [0.000, 0.500, 0.750], [0.250, 0.000, 0.500], [0.500, 0.250, 0.000], [0.500, 0.750, 0.000], [0.750, 0.000, 0.500]]
}

---

Entry 6:
{
  "formula": "SrRe2P",
  "functional": "GGA-PBE",
  "state": "relaxed",
  "dos_at_fermi_per_ev_fu": 3.8,
  "magmom_total_mub_per_fu": 0.00,
  "e_form_ev_per_atom": 0.49,
  "energy_ev_per_atom": -7.504,
  "space_group": "No. 122",
  "lattice": [[4.835, 0.000, 0.000], [0.000, 4.835, 0.000], [0.000, 0.000, 16.506]],
  "species": ["Sr", "Sr", "Sr", "Sr", "Re", "Re", "Re", "Re", "Re", "Re", "Re", "Re", "P", "P", "P", "P"],
  "frac_coords": [[0.000, 0.000, 0.000], [0.000, 0.500, 0.250], [0.500, 0.000, 0.750], [0.500, 0.500, 0.500], [0.037, 0.250, 0.625], [0.250, 0.537, 0.875], [0.250, 0.963, 0.375], [0.463, 0.250, 0.125], [0.537, 0.750, 0.125], [0.750, 0.037, 0.375], [0.750, 0.463, 0.875], [0.963, 0.750, 0.625], [0.000, 0.000, 0.500], [0.000, 0.500, 0.750], [0.500, 0.000, 0.250], [0.500, 0.500, 0.000]]
}

---

Entry 7:
{
  "formula": "LaReAu",
  "functional": "GGA-PBE",
  "state": "relaxed",
  "dos_at_fermi_per_ev_fu": 3.8,
  "magmom_total_mub_per_fu": 0.00,
  "e_form_ev_per_atom": 0.37,
  "polymorph_energy_mev_per_atom": 133.2,
  "energy_ev_per_atom": -6.512,
  "space_group": "No. 44",
  "lattice": [[2.952, 0.000, 0.000], [0.000, 4.133, 0.000], [0.000, 0.000, 10.682]],
  "species": ["La", "La", "Re", "Re", "Au", "Au"],
  "frac_coords": [[0.000, 0.000, 0.000], [0.500, 0.500, 0.500], [0.000, 0.000, 0.693], [0.500, 0.500, 0.193], [0.000, 0.000, 0.296], [0.500, 0.500, 0.796]]
}

---

Entry 8:
{
  "formula": "Li2CaCu2",
  "functional": "GGA-PBE",
  "state": "relaxed",
  "dos_at_fermi_per_ev_fu": 2.1,
  "magmom_total_mub_per_fu": 0.00,
  "e_form_ev_per_atom": -0.05,
  "polymorph_energy_mev_per_atom": 0.0,
  "energy_ev_per_atom": -2.850,
  "space_group": "No. 139",
  "lattice": [[4.051, 0.000, 0.000], [0.000, 4.051, 0.000], [0.000, 0.000, 11.636]],
  "species": ["Li", "Li", "Li", "Li", "Ca", "Ca", "Cu", "Cu", "Cu", "Cu"],
  "frac_coords": [[0.000, 0.500, 0.250], [0.000, 0.500, 0.750], [0.500, 0.000, 0.250], [0.500, 0.000, 0.750], [0.000, 0.000, 0.000], [0.500, 0.500, 0.500], [0.000, 0.000, 0.398], [0.000, 0.000, 0.602], [0.500, 0.500, 0.102], [0.500, 0.500, 0.898]]
}

---

Entry 9:
{
  "formula": "PaMnSnOs",
  "functional": "GGA-PBE",
  "state": "relaxed",
  "dos_at_fermi_per_ev_fu": 2.1,
  "magmom_total_mub_per_fu": 0.00,
  "e_form_ev_per_atom": 0.00,
  "energy_ev_per_atom": -8.472,
  "space_group": "No. 216",
  "lattice": [[6.638, 0.000, 0.000], [0.000, 6.638, 0.000], [0.000, 0.000, 6.638]],
  "species": ["Pa", "Pa", "Pa", "Pa", "Mn", "Mn", "Mn", "Mn", "Sn", "Sn", "Sn", "Sn", "Os", "Os", "Os", "Os"],
  "frac_coords": [[0.000, 0.000, 0.000], [0.000, 0.500, 0.500], [0.500, 0.000, 0.500], [0.500, 0.500, 0.000], [0.250, 0.250, 0.250], [0.250, 0.750, 0.750], [0.750, 0.250, 0.750], [0.750, 0.750, 0.250], [0.000, 0.000, 0.500], [0.000, 0.500, 0.000], [0.500, 0.000, 0.000], [0.500, 0.500, 0.500], [0.250, 0.250, 0.750], [0.250, 0.750, 0.250], [0.750, 0.250, 0.250], [0.750, 0.750, 0.750]]
}

---

Entry 10:
{
  "formula": "Nb2InAgAu",
  "functional": "GGA-PBE",
  "state": "relaxed",
  "dos_at_fermi_per_ev_fu": 6.9,
  "magmom_total_mub_per_fu": 0.00,
  "e_form_ev_per_atom": 1.64,
  "energy_ev_per_atom": -4.158,
  "space_group": "No. 123",
  "lattice": [[5.128, 0.000, 0.000], [0.000, 5.128, 0.000], [0.000, 0.000, 4.932]],
  "species": ["Nb", "Nb", "In", "Ag", "Au"],
  "frac_coords": [[0.000, 0.500, 0.000], [0.500, 0.000, 0.000], [0.000, 0.000, 0.000], [0.500, 0.500, 0.500], [0.000, 0.000, 0.500]]
}

---

Entry 11:
{
  "formula": "CsAlInH2",
  "functional": "GGA-PBE",
  "state": "relaxed",
  "dos_at_fermi_per_ev_fu": 3.4,
  "magmom_total_mub_per_fu": 0.00,
  "energy_ev_per_atom": -1.832,
  "space_group": "No. 123",
  "lattice": [[4.462, 0.000, 0.000], [0.000, 4.462, 0.000], [0.000, 0.000, 8.504]],
  "species": ["Cs", "Al", "In", "H", "H"],
  "frac_coords": [[0.000, 0.000, 0.000], [0.500, 0.500, 0.500], [0.000, 0.000, 0.500], [0.000, 0.500, 0.000], [0.500, 0.000, 0.000]]
}

---

Entry 12:
{
  "formula": "PrNdGdIn",
  "functional": "GGA-PBE",
  "state": "relaxed",
  "dos_at_fermi_per_ev_fu": 6.3,
  "magmom_total_mub_per_fu": 8.19,
  "e_form_ev_per_atom": -0.18,
  "energy_ev_per_atom": -6.770,
  "space_group": "No. 216",
  "lattice": [[7.905, 0.000, 0.000], [0.000, 7.905, 0.000], [0.000, 0.000, 7.905]],
  "species": ["Pr", "Pr", "Pr", "Pr", "Nd", "Nd", "Nd", "Nd", "Gd", "Gd", "Gd", "Gd", "In", "In", "In", "In"],
  "frac_coords": [[0.000, 0.000, 0.000], [0.000, 0.500, 0.500], [0.500, 0.000, 0.500], [0.500, 0.500, 0.000], [0.000, 0.000, 0.500], [0.000, 0.500, 0.000], [0.500, 0.000, 0.000], [0.500, 0.500, 0.500], [0.250, 0.250, 0.750], [0.250, 0.750, 0.250], [0.750, 0.250, 0.250], [0.750, 0.750, 0.750], [0.250, 0.250, 0.250], [0.250, 0.750, 0.750], [0.750, 0.250, 0.750], [0.750, 0.750, 0.250]]
}